First-principles (GGA+U) data for a geometry-optimized Co2MoO structure, as listed in Alexandria via LeMat-Bulk.

Calculated values
N(E_F)   2.131 states/eV per cell
Total magnetization   1.92 μB/atom
Space-group type   I-42d, No. 122
Calculated density   6.81 g/cm³
VASP energy   -5.17 eV/atom

Geometry as extended XYZ:
```
8
Lattice="7.177 0.000 0.000 0.000 7.177 0.000 3.588 3.588 2.175" Properties=species:S:1:pos:R:3 pbc="T T T"
Mo 0.000 0.000 0.000
Mo 7.177 3.588 1.088
Co 4.775 1.794 0.544
Co 2.402 5.383 0.544
Co 5.383 5.990 1.631
Co 8.971 8.363 1.631
O 3.588 3.588 0.000
O 3.588 7.177 1.088
```